# 1
A relaxed SrAl2Rh crystal. Source: the Alexandria database, functional PBE.

Cell and atoms, written as POSCAR:
```
SrAl2Rh
1.0
4.1714 -2.2782 -0.2030
1.7291 -2.1466 3.8774
0.1298 -4.7500 0.2309
Sr Rh Al
1 1 2
Direct
0.0000 0.0000 0.0000
0.5000 0.5000 0.5000
0.2500 0.2500 0.2500
0.7500 0.7500 0.7500
```

Properties
total moment	0.0	Bohr magnetons per cell
energy of formation	-167	meV per atom

# 2
A relaxed Sr2AlRh crystal. Source: the Alexandria database, functional PBE.

Cell and atoms, written as POSCAR:
```
Sr2AlRh
1.0
6.6677 0.2420 -0.1518
3.3502 5.7699 0.1518
-4.6344 -3.6302 3.1439
Sr Rh Al
2 1 1
Direct
0.9950 0.9950 0.0000
0.2668 0.7668 0.5000
0.6716 0.1716 0.5000
0.5666 0.5666 0.0000
```

Properties
total moment	0.0	Bohr magnetons per cell
energy of formation	-274	meV per atom

# 3
A relaxed SrAlRh crystal. Source: the Alexandria database, functional PBE.

Cell and atoms, written as POSCAR:
```
SrAlRh
1.0
-2.5719 -2.3076 3.1765
-2.6781 -3.6181 -1.3292
1.1747 -4.3707 1.2436
Sr Rh Al
1 1 1
Direct
0.0000 0.0000 0.0000
0.2500 0.2500 0.2500
0.5000 0.5000 0.5000
```

Properties
total moment	0.0	Bohr magnetons per cell
energy of formation	-176	meV per atom

# 4
A relaxed SrAlRh crystal. Source: the Alexandria database, functional PBE.

Cell and atoms, written as POSCAR:
```
SrAlRh
1.0
-3.6079 0.4319 -1.7523
-0.0488 -4.9054 3.5351
-1.7862 3.2445 4.4774
Rh Al Sr
2 2 2
Direct
0.5533 0.1065 0.7500
0.4467 0.8935 0.2500
0.0000 0.0000 0.5000
0.0000 0.0000 0.0000
0.7144 0.4288 0.2500
0.2856 0.5712 0.7500
```

Properties
total moment	0.0	Bohr magnetons per cell
energy of formation	-588	meV per atom

# 5
A relaxed SrAlRh2 crystal. Source: the Alexandria database, functional PBE.

Cell and atoms, written as POSCAR:
```
SrAlRh2
1.0
3.1683 0.0000 0.0000
0.0000 3.1612 -0.0067
0.0000 3.1784 7.1549
Sr Rh Al
1 2 1
Direct
0.5000 0.2500 0.2500
0.0000 0.0555 0.9444
0.0000 0.4445 0.5556
0.5000 0.7500 0.7500
```

Properties
total moment	0.0	Bohr magnetons per cell
energy of formation	-472	meV per atom

# 6
A relaxed SrAlRh2 crystal. Source: the Alexandria database, functional PBE.

Cell and atoms, written as POSCAR:
```
SrAlRh2
1.0
4.7325 0.0000 0.0000
2.3662 4.0985 0.0000
2.3662 1.3662 3.8641
Sr Rh Al
1 2 1
Direct
0.7500 0.7500 0.7500
0.0000 0.0000 0.0000
0.2500 0.2500 0.2500
0.5000 0.5000 0.5000
```

Properties
total moment	0.0	Bohr magnetons per cell
energy of formation	105	meV per atom

# 7
A relaxed Sr2Al2Rh crystal. Source: the Alexandria database, functional PBE.

Cell and atoms, written as POSCAR:
```
Sr2Al2Rh
1.0
4.1481 0.0000 1.1908
1.9031 3.6857 1.1908
-0.5810 -0.3539 9.8442
Sr Al Rh
2 2 1
Direct
0.4296 0.4296 0.7111
0.5704 0.5704 0.2889
0.6849 0.6849 0.9452
0.3151 0.3151 0.0548
0.0000 0.0000 0.0000
```

Properties
ΔE to the lowest computed polymorph	0	meV per atom
total moment	0.0	Bohr magnetons per cell
energy of formation	-444	meV per atom

# 8
A relaxed Sr2AlRh crystal. Source: the Alexandria database, functional PBE.

Cell and atoms, written as POSCAR:
```
Sr2AlRh
1.0
-4.3681 2.5776 0.5356
-0.6513 -2.0852 4.6086
2.0466 3.1152 1.6988
Sr Rh Al
2 1 1
Direct
0.0000 0.0000 0.0000
0.5000 0.5000 0.0000
0.0000 0.5000 0.5000
0.5000 0.0000 0.5000
```

Properties
total moment	0.0	Bohr magnetons per cell
energy of formation	-23	meV per atom

# 9
A relaxed Sr2AlRh crystal. Source: the Alexandria database, functional PBE.

Cell and atoms, written as POSCAR:
```
Sr2AlRh
1.0
-0.1626 -3.4156 0.8724
2.5944 -0.7100 -2.2962
6.0949 1.3613 6.4655
Sr Rh Al
2 1 1
Direct
0.0000 0.0000 0.9216
0.5000 0.5000 0.3267
0.5000 0.5000 0.6727
0.0000 0.0000 0.5790
```

Properties
total moment	0.0	Bohr magnetons per cell
energy of formation	-267	meV per atom

# 10
A relaxed SrAl2Rh crystal. Source: the Alexandria database, functional PBE.

Cell and atoms, written as POSCAR:
```
SrAl2Rh
1.0
4.3510 0.0025 0.0019
2.1729 3.7696 0.0019
2.1746 1.2574 5.7208
Sr Rh Al
1 1 2
Direct
0.2457 0.2457 0.2632
0.4277 0.4277 0.7168
0.0531 0.0531 0.8405
0.7734 0.7734 0.6795
```

Properties
total moment	0.0	Bohr magnetons per cell
energy of formation	-590	meV per atom

# 11
A relaxed SrAl3Rh crystal. Source: the Alexandria database, functional PBE.

Cell and atoms, written as POSCAR:
```
SrAl3Rh
1.0
5.5578 0.0000 0.0000
0.0000 5.5578 0.0000
0.0000 0.0000 5.5578
Sr Rh Al
1 1 3
Direct
0.0000 0.0000 0.0000
0.5000 0.5000 0.5000
0.0000 0.5000 0.0000
0.0000 0.0000 0.5000
0.5000 0.0000 0.0000
```

Properties
total moment	0.3	Bohr magnetons per cell
energy of formation	1944	meV per atom

# 12
A relaxed SrAlRh2 crystal. Source: the Alexandria database, functional PBE.

Cell and atoms, written as POSCAR:
```
SrAlRh2
1.0
4.6502 0.0067 -0.0059
-0.0082 4.6502 -0.0059
0.0051 0.0051 3.3091
Sr Rh Al
1 2 1
Direct
0.5000 0.0000 0.5000
0.0000 0.0000 0.0000
0.5000 0.5000 0.0000
0.0000 0.5000 0.5000
```

Properties
total moment	0.0	Bohr magnetons per cell
energy of formation	-256	meV per atom

# 13
A relaxed Sr4AlRh crystal. Source: the Alexandria database, functional PBE.

Cell and atoms, written as POSCAR:
```
Sr4AlRh
1.0
0.0000 4.6631 4.6631
4.6631 0.0000 4.6631
4.6631 4.6631 0.0000
Sr Al Rh
4 1 1
Direct
0.8769 0.3744 0.3744
0.3744 0.3744 0.8769
0.3744 0.8769 0.3744
0.3744 0.3744 0.3744
0.7500 0.7500 0.7500
0.0000 0.0000 0.0000
```

Properties
total moment	0.0	Bohr magnetons per cell
energy of formation	807	meV per atom

# 14
A relaxed SrAl4Rh crystal. Source: the Alexandria database, functional PBE.

Cell and atoms, written as POSCAR:
```
SrAl4Rh
1.0
-3.2811 -2.9150 -4.2989
-4.0857 -1.6839 4.2680
-7.4583 3.7653 -1.2415
Sr Al Rh
2 8 2
Direct
0.5000 0.5000 0.0000
0.0000 0.0000 0.0000
0.9782 0.1704 0.3513
0.1702 0.6702 0.3513
0.4782 0.9782 0.3515
0.5218 0.0218 0.6485
0.8298 0.3298 0.6487
0.0218 0.8296 0.6487
0.3296 0.5218 0.6487
0.6704 0.4782 0.3513
0.7500 0.7500 0.5000
0.2500 0.2500 0.5000
```

Properties
total moment	0.0	Bohr magnetons per cell
energy of formation	-318	meV per atom

# 15
A relaxed SrAlRh2 crystal. Source: the Alexandria database, functional PBE.

Cell and atoms, written as POSCAR:
```
SrAlRh2
1.0
4.4082 -0.0056 -0.0282
2.2087 3.8150 -0.0282
2.2342 1.2863 5.3321
Sr Rh Al
1 2 1
Direct
0.7500 0.7500 0.7500
0.9373 0.9373 0.1880
0.5627 0.5627 0.3120
0.2500 0.2500 0.2500
```

Properties
total moment	0.0	Bohr magnetons per cell
energy of formation	-509	meV per atom

# 16
A relaxed SrTa2AlRh crystal. Source: the Alexandria database, functional PBE.

Cell and atoms, written as POSCAR:
```
SrTa2AlRh
1.0
-4.9243 0.5150 -0.5915
-0.6837 -4.2538 1.9877
-0.3145 2.1482 4.4890
Sr Rh Al Ta
1 1 1 2
Direct
0.0000 0.0000 0.0000
0.0000 0.5000 0.0000
0.5000 0.5000 0.5000
0.0000 0.0000 0.5000
0.5000 0.0000 0.0000
```

Properties
total moment	0.0	Bohr magnetons per cell
energy of formation	2516	meV per atom

# 17
A relaxed Ta3AlRh crystal. Source: the Alexandria database, functional PBE.

Cell and atoms, written as POSCAR:
```
Ta3AlRh
1.0
-3.0183 0.5041 3.4704
-1.3032 -4.4121 -0.4925
3.2557 -1.2988 3.0202
Rh Al Ta
1 1 3
Direct
0.5000 0.5000 0.5000
0.0000 0.0000 0.0000
0.0000 0.5000 0.0000
0.0000 0.0000 0.5000
0.5000 0.0000 0.0000
```

Properties
ΔE to the lowest computed polymorph	309	meV per atom
total moment	0.0	Bohr magnetons per cell
energy of formation	1334	meV per atom

# 18
A relaxed Ta2Al2Rh crystal. Source: the Alexandria database, functional PBE.

Cell and atoms, written as POSCAR:
```
Ta2Al2Rh
1.0
6.3190 0.0000 0.0000
0.0000 6.3190 0.0000
0.0000 0.0000 4.0847
Rh Al Ta
2 4 4
Direct
0.0000 0.0000 0.0000
0.5000 0.5000 0.0000
0.3571 0.8571 0.0000
0.8571 0.6429 0.0000
0.6429 0.1429 0.0000
0.1429 0.3571 0.0000
0.1594 0.6594 0.5000
0.6594 0.8406 0.5000
0.8406 0.3406 0.5000
0.3406 0.1594 0.5000
```

Properties
total moment	0.0	Bohr magnetons per cell
energy of formation	-335	meV per atom

# 19
A relaxed TaAlRh crystal. Source: the Alexandria database, functional PBE.

Cell and atoms, written as POSCAR:
```
TaAlRh
1.0
5.6586 -0.0345 0.0372
4.9013 2.8283 0.0308
0.7573 0.2068 2.8554
Rh Al Ta
1 1 1
Direct
0.3437 0.3437 0.6563
0.9867 0.9867 0.0133
0.6696 0.6696 0.3304
```

Properties
total moment	0.0	Bohr magnetons per cell
energy of formation	-612	meV per atom

# 20
A relaxed TaAlRh4 crystal. Source: the Alexandria database, functional PBE.

Cell and atoms, written as POSCAR:
```
TaAlRh4
1.0
-4.4654 -2.4480 -0.0610
-3.6950 1.5212 -3.1575
-1.2720 -2.8774 -4.0049
Ta Al Rh
1 1 4
Direct
0.2500 0.2500 0.2500
0.0000 0.0000 0.0000
0.6256 0.6256 0.1233
0.6256 0.1233 0.6256
0.6256 0.6256 0.6256
0.1233 0.6256 0.6256
```

Properties
total moment	0.0	Bohr magnetons per cell
energy of formation	-207	meV per atom